# LiYFe2Ag, optimized geometry, DFT GGA-PBEsol
data_LiYFe2Ag
_symmetry_space_group_name_H-M 'P 4/m m m'
_symmetry_Int_Tables_number 123
_symmetry_space_group_name_Hall '-P 4 2'
_cell_length_a 4.166
_cell_length_b 4.166
_cell_length_c 4.737
_cell_angle_alpha 90.00
_cell_angle_beta 90.00
_cell_angle_gamma 90.00
loop_
_atom_site_label
_atom_site_type_symbol
_atom_site_fract_x
_atom_site_fract_y
_atom_site_fract_z
Li1 Li 0.000 0.000 0.000
Y1 Y 0.000 0.000 0.500
Fe1 Fe 0.000 0.500 0.000
Ag1 Ag 0.500 0.500 0.500
# total energy = -5.0375 eV per atom
# energy relative to the elements = 0.97 eV per atom

# Sc3AgN, optimized geometry, DFT GGA-PBEsol
data_Sc3AgN
_symmetry_space_group_name_H-M 'P m -3 m'
_symmetry_Int_Tables_number 221
_symmetry_space_group_name_Hall '-P 4 2 3'
_cell_length_a 4.386
_cell_length_b 4.386
_cell_length_c 4.386
_cell_angle_alpha 90.00
_cell_angle_beta 90.00
_cell_angle_gamma 90.00
loop_
_atom_site_label
_atom_site_type_symbol
_atom_site_fract_x
_atom_site_fract_y
_atom_site_fract_z
Sc1 Sc 0.000 0.000 0.500
Ag1 Ag 0.500 0.500 0.500
N1 N 0.000 0.000 0.000
# formation energy without anion corrections = -4.9 eV/f.u.
# total energy = -7.3090 eV per atom
# offset from the most stable computed form = 32 meV per atom

# Ce2ZrO6, optimized geometry, DFT GGA-PBEsol
data_Ce2ZrO6
_symmetry_space_group_name_H-M 'I 4/m m m'
_symmetry_Int_Tables_number 139
_symmetry_space_group_name_Hall '-I 4 2'
_cell_length_a 3.732
_cell_length_b 3.732
_cell_length_c 15.921
_cell_angle_alpha 90.00
_cell_angle_beta 90.00
_cell_angle_gamma 90.00
loop_
_atom_site_label
_atom_site_type_symbol
_atom_site_fract_x
_atom_site_fract_y
_atom_site_fract_z
Ce1 Ce 0.000 0.000 0.164
Zr1 Zr 0.000 0.000 0.500
O1 O 0.000 0.500 0.078
O2 O 0.000 0.500 0.250
# formation energy without anion corrections = -30.9 eV/f.u.
# total energy = -9.4088 eV per atom
# offset from the most stable computed form = 12 meV per atom

# YGaHg2Bi, optimized geometry, DFT GGA-PBEsol
data_YGaHg2Bi
_symmetry_space_group_name_H-M 'P 4/m m m'
_symmetry_Int_Tables_number 123
_symmetry_space_group_name_Hall '-P 4 2'
_cell_length_a 5.684
_cell_length_b 5.684
_cell_length_c 5.796
_cell_angle_alpha 90.00
_cell_angle_beta 90.00
_cell_angle_gamma 90.00
loop_
_atom_site_label
_atom_site_type_symbol
_atom_site_fract_x
_atom_site_fract_y
_atom_site_fract_z
Y1 Y 0.000 0.000 0.000
Ga1 Ga 0.500 0.500 0.500
Hg1 Hg 0.000 0.500 0.000
Bi1 Bi 0.000 0.000 0.500
# total energy = -2.7255 eV per atom
# energy relative to the elements = 0.39 eV per atom

# KSi2Sn2, optimized geometry, DFT GGA-PBEsol
data_KSi2Sn2
_symmetry_space_group_name_H-M 'I 4/m m m'
_symmetry_Int_Tables_number 139
_symmetry_space_group_name_Hall '-I 4 2'
_cell_length_a 4.271
_cell_length_b 4.271
_cell_length_c 15.751
_cell_angle_alpha 90.00
_cell_angle_beta 90.00
_cell_angle_gamma 90.00
loop_
_atom_site_label
_atom_site_type_symbol
_atom_site_fract_x
_atom_site_fract_y
_atom_site_fract_z
K1 K 0.000 0.000 0.000
Si1 Si 0.000 0.500 0.250
Sn1 Sn 0.000 0.000 0.358
# formation energy without anion corrections = 0.6 eV/f.u.
# total energy = -4.1124 eV per atom

# H2PtW, optimized geometry, DFT GGA-PBEsol
data_H2PtW
_symmetry_space_group_name_H-M 'F m -3 m'
_symmetry_Int_Tables_number 225
_symmetry_space_group_name_Hall '-F 4 2 3'
_cell_length_a 5.325
_cell_length_b 5.325
_cell_length_c 5.325
_cell_angle_alpha 90.00
_cell_angle_beta 90.00
_cell_angle_gamma 90.00
loop_
_atom_site_label
_atom_site_type_symbol
_atom_site_fract_x
_atom_site_fract_y
_atom_site_fract_z
H1 H 0.250 0.250 0.250
Pt1 Pt 0.000 0.000 0.000
W1 W 0.000 0.000 0.500
# total energy = -6.1000 eV per atom

# Li4Cr3FeO8, optimized geometry, DFT GGA-PBEsol
data_Li4Cr3FeO8
_symmetry_space_group_name_H-M 'P -1'
_symmetry_Int_Tables_number 2
_cell_length_a 5.013
_cell_length_b 5.748
_cell_length_c 9.924
_cell_angle_alpha 89.80
_cell_angle_beta 80.43
_cell_angle_gamma 73.26
loop_
_symmetry_equiv_pos_as_xyz
'x,y,z'
'-x,-y,-z'
loop_
_atom_site_label
_atom_site_type_symbol
_atom_site_fract_x
_atom_site_fract_y
_atom_site_fract_z
Li1 Li 0.000 0.000 0.000
Li2 Li 0.000 0.000 0.500
Li3 Li 0.000 0.247 0.255
Li4 Li 0.000 0.500 0.000
Li5 Li 0.000 0.500 0.500
Li6 Li 0.001 0.249 0.750
Cr1 Cr 0.499 0.375 0.622
Cr2 Cr 0.499 0.628 0.872
Cr3 Cr 0.500 0.124 0.872
Fe1 Fe 0.499 0.882 0.619
O1 O 0.270 0.182 0.560
O2 O 0.272 0.433 0.809
O3 O 0.273 0.685 0.560
O4 O 0.274 0.181 0.061
O5 O 0.275 0.681 0.061
O6 O 0.275 0.931 0.314
O7 O 0.276 0.933 0.805
O8 O 0.279 0.424 0.314
# formation energy without anion corrections = -30.8 eV/f.u.
# total energy = -7.5203 eV per atom
# offset from the most stable computed form = 0 meV per atom

# MoP2Au, optimized geometry, DFT GGA-PBEsol
data_MoP2Au
_symmetry_space_group_name_H-M 'I -4 m 2'
_symmetry_Int_Tables_number 119
_symmetry_space_group_name_Hall 'I -4 -2'
_cell_length_a 3.608
_cell_length_b 3.608
_cell_length_c 9.100
_cell_angle_alpha 90.00
_cell_angle_beta 90.00
_cell_angle_gamma 90.00
loop_
_atom_site_label
_atom_site_type_symbol
_atom_site_fract_x
_atom_site_fract_y
_atom_site_fract_z
Mo1 Mo 0.000 0.000 0.000
P1 P 0.000 0.000 0.500
P2 P 0.000 0.500 0.250
Au1 Au 0.000 0.500 0.750
# total energy = -6.5563 eV per atom
# energy relative to the elements = 0.26 eV per atom
# offset from the most stable computed form = 0 meV per atom

# Na3TcPt, optimized geometry, DFT GGA-PBEsol
data_Na3TcPt
_symmetry_space_group_name_H-M 'P m -3 m'
_symmetry_Int_Tables_number 221
_symmetry_space_group_name_Hall '-P 4 2 3'
_cell_length_a 5.283
_cell_length_b 5.283
_cell_length_c 5.283
_cell_angle_alpha 90.00
_cell_angle_beta 90.00
_cell_angle_gamma 90.00
loop_
_atom_site_label
_atom_site_type_symbol
_atom_site_fract_x
_atom_site_fract_y
_atom_site_fract_z
Na1 Na 0.000 0.000 0.500
Tc1 Tc 0.500 0.500 0.500
Pt1 Pt 0.000 0.000 0.000
# total energy = -3.1417 eV per atom
# energy relative to the elements = 1.34 eV per atom

# Ca5Pt, optimized geometry, DFT GGA-PBEsol
data_Ca5Pt
_symmetry_space_group_name_H-M 'C 1 2/m 1'
_symmetry_Int_Tables_number 12
_cell_length_a 12.859
_cell_length_b 3.674
_cell_length_c 9.156
_cell_angle_alpha 90.00
_cell_angle_beta 113.84
_cell_angle_gamma 90.00
loop_
_symmetry_equiv_pos_as_xyz
'x,y,z'
'-x,-y,-z'
'-x,y,-z'
'x,-y,z'
'x+1/2,y+1/2,z'
'-x+1/2,-y+1/2,-z'
'-x+1/2,y+1/2,-z'
'x+1/2,-y+1/2,z'
loop_
_atom_site_label
_atom_site_type_symbol
_atom_site_fract_x
_atom_site_fract_y
_atom_site_fract_z
Ca1 Ca 0.000 0.000 0.000
Ca2 Ca 0.119 0.500 0.381
Ca3 Ca 0.168 0.500 0.777
Pt1 Pt 0.000 0.000 0.500
# total energy = -3.2362 eV per atom
# energy relative to the elements = -0.30 eV per atom

# LiSb2Se, optimized geometry, DFT GGA-PBEsol
data_LiSb2Se
_symmetry_space_group_name_H-M 'P m m m'
_symmetry_Int_Tables_number 47
_cell_length_a 3.451
_cell_length_b 4.903
_cell_length_c 5.344
_cell_angle_alpha 90.00
_cell_angle_beta 90.00
_cell_angle_gamma 90.00
loop_
_symmetry_equiv_pos_as_xyz
'x,y,z'
'-x,-y,-z'
'-x,-y,z'
'x,y,-z'
'x,-y,-z'
'-x,y,z'
'-x,y,-z'
'x,-y,z'
loop_
_atom_site_label
_atom_site_type_symbol
_atom_site_fract_x
_atom_site_fract_y
_atom_site_fract_z
Li1 Li 0.000 0.000 0.000
Sb1 Sb 0.000 0.500 0.500
Sb2 Sb 0.500 0.500 0.000
Se1 Se 0.500 0.000 0.500
# formation energy without anion corrections = -0.6 eV/f.u.
# total energy = -3.8910 eV per atom

# LaRuRh3, optimized geometry, DFT GGA-PBEsol
data_LaRuRh3
_symmetry_space_group_name_H-M 'P m -3 m'
_symmetry_Int_Tables_number 221
_symmetry_space_group_name_Hall '-P 4 2 3'
_cell_length_a 4.707
_cell_length_b 4.707
_cell_length_c 4.707
_cell_angle_alpha 90.00
_cell_angle_beta 90.00
_cell_angle_gamma 90.00
loop_
_atom_site_label
_atom_site_type_symbol
_atom_site_fract_x
_atom_site_fract_y
_atom_site_fract_z
La1 La 0.000 0.000 0.000
Ru1 Ru 0.500 0.500 0.500
Rh1 Rh 0.000 0.000 0.500
# total energy = -6.2353 eV per atom
# energy relative to the elements = 1.75 eV per atom

# ReHg2MoBr, optimized geometry, DFT GGA-PBEsol
data_ReHg2MoBr
_symmetry_space_group_name_H-M 'P 4/m m m'
_symmetry_Int_Tables_number 123
_symmetry_space_group_name_Hall '-P 4 2'
_cell_length_a 5.376
_cell_length_b 5.376
_cell_length_c 4.679
_cell_angle_alpha 90.00
_cell_angle_beta 90.00
_cell_angle_gamma 90.00
loop_
_atom_site_label
_atom_site_type_symbol
_atom_site_fract_x
_atom_site_fract_y
_atom_site_fract_z
Re1 Re 0.000 0.000 0.000
Hg1 Hg 0.000 0.500 0.500
Mo1 Mo 0.000 0.000 0.500
Br1 Br 0.500 0.500 0.000
# formation energy without anion corrections = 6.9 eV/f.u.
# total energy = -4.2369 eV per atom